No. 1
# Rb2YBiO4

A geometry-optimized Rb2YBiO4 structure (PBE, the Alexandria database).

```
Rb2YBiO4
1.0
-1.453 -3.038 -1.210
0.060 -2.329 5.774
-6.032 3.224 -0.853
Rb Y O Bi
2 1 4 1
Direct
0.500 0.000 0.500
0.000 0.500 0.500
0.500 0.500 0.000
0.000 0.285 0.821
0.500 0.758 0.813
0.500 0.242 0.187
0.000 0.715 0.179
0.000 0.000 0.000
```

Summary:
The calculation puts the total energy at -5.99 eV per atom. The calculation puts the formation energy from raw total energies at -1977.6 meV per atom.

***

No. 2
# Ac3MgAg3

A geometry-optimized Ac3MgAg3 structure (PBE, the Alexandria database).

```
Ac3MgAg3
1.0
-0.785 3.098 3.249
-0.256 -3.025 6.018
14.241 2.974 3.803
Ac Ag Mg
6 6 2
Direct
0.740 0.748 0.773
0.611 0.699 0.080
0.488 0.649 0.375
0.512 0.351 0.625
0.389 0.301 0.920
0.260 0.252 0.227
0.960 0.845 0.235
0.040 0.155 0.765
0.124 0.295 0.456
0.893 0.140 0.075
0.107 0.860 0.925
0.876 0.705 0.544
0.759 0.067 0.415
0.241 0.933 0.585
```

Summary:
For the energy relative to the elements, the calculation gives -0.23 eV per atom. The calculation puts the total energy at -3.45 eV per atom.

***

No. 3
# Ac2PmSm2Y6

A geometry-optimized Ac2PmSm2Y6 structure (PBE, the Alexandria database).

```
Ac2PmSm2Y6
1.0
6.279 -0.022 0.029
-3.123 5.447 0.029
-1.100 -1.892 11.830
Sm Y Pm Ac
2 6 1 2
Direct
0.336 0.664 0.500
0.664 0.336 0.500
0.414 0.081 0.742
0.081 0.414 0.742
0.919 0.586 0.258
0.586 0.919 0.258
0.746 0.746 0.743
0.254 0.254 0.257
0.000 0.000 0.500
0.833 0.167 0.000
0.167 0.833 0.000
```

Summary:
For the energy relative to the elements, the calculation gives 0.18 eV per atom. The calculation puts the total energy at -5.38 eV per atom.